Entry 1:
Entry from the Alexandria database: a relaxed AcZn11Au crystal (PBE).

```
AcZn11Au
1.0
-0.975 -3.844 3.580
-0.432 -6.357 -2.892
5.935 -2.750 2.650
Ac Zn Au
1 11 1
Direct
0.000 0.000 0.000
0.004 0.357 0.639
0.502 0.772 0.235
0.264 0.228 0.235
0.000 0.500 0.000
0.498 0.228 0.765
0.736 0.772 0.765
0.000 0.000 0.500
0.500 0.000 0.500
0.643 0.357 0.361
0.996 0.643 0.361
0.357 0.643 0.639
0.500 0.500 0.000
```

Computed properties:
D(E_F)   3.9 states/eV/f.u.
Calculated total energy   -1.84 eV per atom
Volume   225.1 Å³/cell
Formation energy from the elements   -0.194 eV/atom

Entry 2:
Entry from the Alexandria database: a relaxed Ac2Zn9Au6 crystal (PBE).

```
Ac2Zn9Au6
1.0
5.653 0.000 0.000
-2.827 4.896 0.000
0.000 0.000 13.082
Ac Au Zn
2 6 9
Direct
0.000 0.000 0.338
0.000 0.000 0.662
0.667 0.333 0.326
0.333 0.667 0.326
0.667 0.333 0.674
0.333 0.667 0.000
0.667 0.333 0.000
0.333 0.667 0.674
0.500 0.500 0.159
0.500 0.000 0.841
0.000 0.500 0.159
0.500 0.000 0.159
0.500 0.500 0.500
0.500 0.500 0.841
0.500 0.000 0.500
0.000 0.500 0.841
0.000 0.500 0.500
```

Computed properties:
D(E_F)   8.5 states/eV/f.u.
Calculated total energy   -2.64 eV per atom
Volume   362.1 Å³/cell
Formation energy from the elements   -0.321 eV/atom

Entry 3:
Entry from the Alexandria database: a relaxed AcZnAu2 crystal (PBE).

```
AcZnAu2
1.0
-0.990 -2.089 -2.892
3.343 -1.593 0.006
-2.318 -4.849 4.296
Ac Zn Au
1 1 2
Direct
0.500 0.500 0.500
0.500 0.500 0.000
0.000 0.000 0.792
0.000 0.000 0.208
```

Computed properties:
D(E_F)   2.5 states/eV/f.u.
Calculated total energy   -3.43 eV per atom
Volume   94.3 Å³/cell
Formation energy from the elements   -0.447 eV/atom